A relaxed structure of Ta4CdNi, computed with PBE.

Structure (POSCAR):
```
Ta4CdNi
1.0
0.0000 3.8422 3.8422
3.8422 0.0000 3.8422
3.8422 3.8422 0.0000
Ni Ta Cd
1 4 1
Direct
0.0000 0.0000 0.0000 Ni
0.3754 0.3754 0.3754 Ta
0.3754 0.3754 0.8739 Ta
0.8739 0.3754 0.3754 Ta
0.3754 0.8739 0.3754 Ta
0.7500 0.7500 0.7500 Cd
```

Computed properties:
- energy of formation from the pure elements (eV per atom) = 0.57
- V (Å³ per cell) = 113.4
- SG = No. 216
- size of the total moment (Bohr magnetons per cell) = 0.0
- VASP energy (eV/f.u.) = -50.67
- D(E_F) (states/eV/f.u.) = 5.57